Record 1
20
Lattice="0.000 5.452 5.452 5.452 0.000 5.452 5.452 5.452 0.000" Properties=species:S:1:pos:R:3 comment="YHPd3, optimized geometry, DFT PBE-GGA" e_above_lowest_polymorph_mev_per_atom=336.5 pbc="T T T"
Y 0.000 0.000 0.000
Y 2.726 2.726 0.000
Y 2.726 0.000 2.726
Y 0.000 2.726 2.726
H 5.452 2.726 2.726
H 2.726 5.452 2.726
H 2.726 2.726 5.452
H 5.452 5.452 5.452
Pd 4.089 4.089 2.049
Pd 4.089 2.049 4.089
Pd 6.129 4.089 4.089
Pd 6.815 6.815 4.776
Pd 6.815 4.776 6.815
Pd 8.855 6.815 6.815
Pd 2.049 4.089 4.089
Pd 4.089 6.129 4.089
Pd 4.089 4.089 6.129
Pd 4.776 6.815 6.815
Pd 6.815 8.855 6.815
Pd 6.815 6.815 8.855

***

Record 2
5
Lattice="-1.870 1.870 4.462 1.870 -1.870 4.462 1.870 1.870 -4.462" Properties=species:S:1:pos:R:3 comment="YH2Pd2, optimized geometry, DFT PBE-GGA" e_above_lowest_polymorph_mev_per_atom=0.0 pbc="T T T"
Y 0.000 0.000 0.000
H 1.870 0.000 2.231
H 0.000 1.870 2.231
Pd 0.000 0.000 2.972
Pd 0.000 0.000 5.952

***

Record 3
14
Lattice="5.466 0.000 0.000 0.000 5.466 0.000 0.000 0.000 5.466" Properties=species:S:1:pos:R:3 comment="YH3Pd3, optimized geometry, DFT PBE-GGA" e_above_lowest_polymorph_mev_per_atom=0.0 pbc="T T T"
Y 0.000 0.000 0.000
Y 2.733 2.733 2.733
H 0.000 1.367 2.733
H 0.000 4.100 2.733
H 1.367 2.733 0.000
H 2.733 0.000 1.367
H 2.733 0.000 4.100
H 4.100 2.733 0.000
Pd 0.000 2.733 1.367
Pd 0.000 2.733 4.100
Pd 1.367 0.000 2.733
Pd 2.733 1.367 0.000
Pd 2.733 4.100 0.000
Pd 4.100 0.000 2.733

***

Record 4
18
Lattice="6.456 0.000 0.000 0.000 7.036 0.000 -6.409 0.000 9.809" Properties=species:S:1:pos:R:3 comment="Y6HPd2, optimized geometry, DFT PBE-GGA" total_energy_ev_per_atom=-6.338 pbc="T T T"
Y -0.891 0.167 2.458
Y -4.095 3.351 7.363
Y 1.122 4.763 0.600
Y -2.083 5.791 5.505
Y 2.118 1.255 0.582
Y -1.086 2.263 5.486
Y 1.133 4.773 4.323
Y -2.071 5.781 9.228
Y 2.130 1.245 4.304
Y -1.075 2.273 9.209
Y 4.142 3.685 2.446
Y 0.938 6.869 7.351
H 0.000 0.000 0.000
H -3.204 3.518 4.905
Pd -2.775 0.807 7.356
Pd 0.430 2.711 2.451
Pd -0.383 4.325 7.359
Pd 2.822 6.229 2.454

***

Record 5
8
Lattice="2.754 1.590 4.896 -2.754 1.590 4.896 0.000 -3.180 4.896" Properties=species:S:1:pos:R:3 comment="YHPd6, optimized geometry, DFT PBE-GGA" total_energy_ev_per_atom=-5.404 pbc="T T T"
Y 0.000 0.000 0.000
H 0.000 0.000 7.344
Pd -1.410 -0.814 6.223
Pd 0.000 -1.628 8.465
Pd -1.410 0.814 8.465
Pd 1.410 -0.814 6.223
Pd 0.000 1.628 6.223
Pd 1.410 0.814 8.465

***

Record 6
10
Lattice="1.917 -5.412 0.000 1.917 5.412 0.000 0.000 0.000 7.616" Properties=species:S:1:pos:R:3 comment="YHPd3, optimized geometry, DFT PBE-GGA" e_above_lowest_polymorph_mev_per_atom=195.4 pbc="T T T"
Y 1.917 5.004 5.712
Y 1.917 -5.004 1.904
H 1.917 2.571 5.712
H 1.917 -2.571 1.904
Pd 1.917 2.724 1.904
Pd 1.917 1.295 4.252
Pd 1.917 1.295 7.172
Pd 1.917 -1.295 0.444
Pd 1.917 -1.295 3.364
Pd 1.917 -2.724 5.712

***

Record 7
10
Lattice="2.730 -7.000 0.000 2.730 7.000 0.000 0.000 0.000 5.269" Properties=species:S:1:pos:R:3 comment="YHPd3, optimized geometry, DFT PBE-GGA" e_above_lowest_polymorph_mev_per_atom=516.0 pbc="T T T"
Y 2.730 4.476 3.952
Y 2.730 -4.476 1.317
H 2.730 0.989 3.952
H 2.730 -0.989 1.317
Pd 0.000 0.000 0.000
Pd 0.000 0.000 2.634
Pd 1.353 2.003 3.952
Pd 1.353 -2.003 1.317
Pd 4.107 2.003 3.952
Pd 4.107 -2.003 1.317

***

Record 8
10
Lattice="3.179 -4.703 0.000 3.179 4.703 0.000 0.000 0.000 5.460" Properties=species:S:1:pos:R:3 comment="YHPd3, optimized geometry, DFT PBE-GGA" e_above_lowest_polymorph_mev_per_atom=321.2 pbc="T T T"
Y 3.179 3.628 4.095
Y 3.179 -3.628 1.365
H 3.179 1.210 4.095
H 3.179 -1.210 1.365
Pd 1.292 1.591 4.095
Pd 1.292 -1.591 1.365
Pd 3.179 0.000 0.000
Pd 3.179 0.000 2.730
Pd 5.066 1.591 4.095
Pd 5.066 -1.591 1.365

***

Density of states at the Fermi level for every record listed, in sequence, given in states/eV/cell: 13.471; 1.517; 0.462; 18.773; 8.394; 2.724; 3.176; 2.624.